The following is a DFT calculation (GGA-PBE) of Sc2HgMo after structural relaxation.

Unit cell a=10.0740 b=10.0740 c=10.0740 alpha=17.80 beta=17.80 gamma=17.80
Closest atoms and distances in Å follow each position.
Atoms (fractional coordinates):
Sc 0.2469 0.2469 0.2469  3 Hg 3.08, 9 Sc 3.12-3.31
Mo 0.7498 0.7498 0.7498  3 Sc 2.89, 3 Hg 2.98, 6 Mo 3.12
Hg 0.4964 0.4964 0.4964  3 Mo 2.98, 3 Sc 3.08, 6 Hg 3.12
Sc 0.0069 0.0069 0.0069  3 Mo 2.89, 6 Sc 3.12

Calculated values
**E**: -5.699 eV/atom
**Mass density**: 7691 kg/m³
**Symmetry**: R3m, No. 160


The following is a DFT calculation (GGA-PBE) of TaCrReRu after structural relaxation.

Unit cell a=4.3964 b=4.3964 c=4.3964 alpha=60.00 beta=60.00 gamma=60.00
Closest atoms and distances in Å follow each position.
Atoms (fractional coordinates):
Re 0.2500 0.2500 0.2500  4 Cr 2.69, 4 Ta 2.69
Ta 0.0000 0.0000 0.0000  4 Ru 2.69, 4 Re 2.69
Ru 0.7500 0.7500 0.7500  4 Cr 2.69, 4 Ta 2.69
Cr 0.5000 0.5000 0.5000  4 Re 2.69, 4 Ru 2.69

Calculated values
**E**: -10.872 eV/atom
**Mass density**: 14377 kg/m³
**Symmetry**: F-43m, No. 216


The following is a DFT calculation (GGA-PBE) of Pr5Tl2Sb2 after structural relaxation.

Unit cell a=8.5160 b=8.4477 c=9.1315 alpha=117.55 beta=90.00 gamma=90.00
Closest atoms and distances in Å follow each position.
Atoms (fractional coordinates):
Pr 0.6654 0.0363 0.7298  3 Sb 3.20-3.40, 3 Tl 3.26-3.40
Tl 0.0000 0.7933 0.5866  7 Pr 3.26-3.40
Sb 0.3613 0.1360 0.0000  8 Pr 3.20-3.40, 1 Sb 3.30
Pr 0.1654 0.1935 0.7298  3 Sb 3.20-3.40, 3 Tl 3.26-3.40
Tl 0.0000 0.2067 0.4134  7 Pr 3.26-3.40
Pr 0.1654 0.4637 0.2702  3 Sb 3.20-3.40, 3 Tl 3.26-3.40
Pr 0.0000 0.0000 0.0000  4 Sb 3.28-3.29, 2 Tl 3.35
Tl 0.5000 0.7067 0.4134  7 Pr 3.26-3.40
Pr 0.8346 0.8065 0.2702  3 Sb 3.20-3.40, 3 Tl 3.26-3.40
Sb 0.8613 0.3640 0.0000  8 Pr 3.20-3.40, 1 Sb 3.30
Pr 0.8346 0.5363 0.7298  3 Sb 3.20-3.40, 3 Tl 3.26-3.40
Pr 0.3346 0.9637 0.2702  3 Sb 3.20-3.40, 3 Tl 3.26-3.40
Pr 0.5000 0.5000 0.0000  4 Sb 3.28-3.29, 2 Tl 3.35
Sb 0.1387 0.6360 0.0000  8 Pr 3.20-3.40, 1 Sb 3.30
Pr 0.3346 0.6935 0.7298  3 Sb 3.20-3.40, 3 Tl 3.26-3.40
Sb 0.6387 0.8640 0.0000  8 Pr 3.20-3.40, 1 Sb 3.30
Tl 0.5000 0.2933 0.5866  7 Pr 3.26-3.40
Pr 0.6654 0.3065 0.2702  3 Sb 3.20-3.40, 3 Tl 3.26-3.40

Calculated values
**Mass density**: 7737 kg/m³
**Formation energy from raw total energies**: -6.25 eV/f.u.
**Symmetry**: Cmce, No. 64


The following is a DFT calculation (GGA-PBE) of LiLa2Rh after structural relaxation.

Unit cell a=3.6428 b=3.6428 c=7.4887 alpha=90.00 beta=90.00 gamma=90.00
Closest atoms and distances in Å follow each position.
Atoms (fractional coordinates):
Rh 0.5000 0.5000 0.6760  1 La 2.61, 4 Li 2.71
La 0.5000 0.5000 0.3279  1 Rh 2.61
La 0.0000 0.0000 0.9343  1 Li 2.79
Li 0.0000 0.0000 0.5619  4 Rh 2.71, 1 La 2.79

Calculated values
**E**: -4.963 eV/atom
**Mass density**: 6478 kg/m³
**Symmetry**: P4mm, No. 99


The following is a DFT calculation (GGA-PBE) of K2ClF2 after structural relaxation.

Unit cell a=7.4927 b=7.4927 c=3.5762 alpha=90.00 beta=90.00 gamma=90.00
Closest atoms and distances in Å follow each position.
Atoms (fractional coordinates):
F 0.8546 0.6454 0.0000  6 K 2.72-2.91, 2 Cl 2.87
F 0.6454 0.1454 0.0000  6 K 2.72-2.91, 2 Cl 2.87
K 0.8393 0.3393 0.5000  6 F 2.72-2.91
K 0.1607 0.6607 0.5000  6 F 2.72-2.91
K 0.6607 0.8393 0.5000  6 F 2.72-2.91
Cl 0.5000 0.5000 0.0000  4 F 2.87
Cl 0.0000 0.0000 0.0000  4 F 2.87
F 0.1454 0.3546 0.0000  6 K 2.72-2.91, 2 Cl 2.87
K 0.3393 0.1607 0.5000  6 F 2.72-2.91
F 0.3546 0.8546 0.0000  6 K 2.72-2.91, 2 Cl 2.87

Calculated values
**Mass density**: 2509 kg/m³
**Formation energy from raw total energies**: -9.70 eV/f.u.
**Symmetry**: P4/mbm, No. 127


The following is a DFT calculation (GGA-PBE) of K2YAlSe4 after structural relaxation.

Unit cell a=8.4856 b=8.4856 c=8.6647 alpha=120.70 beta=120.70 gamma=90.38
Closest atoms and distances in Å follow each position.
Atoms (fractional coordinates):
Se 0.7588 0.7407 0.5480  2 Al 2.70-2.71, 1 Y 2.93
Se 0.2407 0.2588 0.0480  2 Al 2.70-2.71, 1 Y 2.93
K 0.5000 0.0000 0.5000  6 Se 3.12-3.15
Al 0.5000 0.5000 0.5000  6 Se 2.70-2.73
K 0.5000 0.5000 0.0000  6 Se 3.30-3.31
Y 0.0000 0.5000 0.5000  6 Se 2.89-2.93
K 0.5000 0.0000 0.0000  6 Se 3.12-3.15
Se 0.7593 0.7412 0.9520  2 Al 2.70-2.71, 1 Y 2.93
K 0.0000 0.0000 0.5000  6 Se 3.30-3.31
Se 0.2412 0.2593 0.4520  2 Al 2.70-2.71, 1 Y 2.93
Y 0.0000 0.5000 0.0000  6 Se 2.89-2.93
Se 0.7462 0.2939 0.5201  1 Al 2.73, 2 Y 2.89
Se 0.2538 0.7061 0.4799  1 Al 2.73, 2 Y 2.89
Se 0.7939 0.2462 0.0201  1 Al 2.73, 2 Y 2.89
Al 0.0000 0.0000 0.0000  6 Se 2.70-2.73
Se 0.2061 0.7538 0.9799  1 Al 2.73, 2 Y 2.89

Calculated values
**Mass density**: 3937 kg/m³
**Formation energy from raw total energies**: -10.25 eV/f.u.
**Symmetry**: Imma, No. 74


The following is a DFT calculation (GGA-PBE) of SrAg2Ir after structural relaxation.

Unit cell a=4.5473 b=4.5473 c=10.1257 alpha=77.02 beta=77.02 gamma=90.00
Closest atoms and distances in Å follow each position.
Atoms (fractional coordinates):
Ag 0.8750 0.9731 0.7500  2 Ag 2.66, 2 Ir 2.74
Sr 0.5000 0.5000 0.0000  4 Ag 3.09, 4 Ir 3.22
Ir 0.7500 0.2500 0.5000  4 Ag 2.74
Ag 0.7231 0.1250 0.2500  2 Ag 2.66, 2 Ir 2.74
Ag 0.3750 0.2769 0.7500  2 Ag 2.66, 2 Ir 2.74
Ag 0.0269 0.6250 0.2500  2 Ag 2.66, 2 Ir 2.74
Sr 0.2500 0.7500 0.5000  4 Ag 3.09, 4 Ir 3.22
Ir 0.0000 0.0000 0.0000  4 Ag 2.74

Calculated values
**E**: -3.728 eV/atom
**Mass density**: 8290 kg/m³
**Symmetry**: I-42d, No. 122


The following is a DFT calculation (GGA-PBE) of Mn2AgIr2 after structural relaxation.

Unit cell a=7.3740 b=7.3740 c=2.7884 alpha=90.00 beta=90.00 gamma=90.00
Closest atoms and distances in Å follow each position.
Atoms (fractional coordinates):
Mn 0.3367 0.1633 0.5000  6 Ir 2.55-2.60, 2 Mn 2.79
Mn 0.1633 0.6633 0.5000  6 Ir 2.55-2.60, 2 Mn 2.79
Ag 0.5000 0.5000 0.0000  2 Ag 2.79, 4 Ir 2.88, 8 Mn 3.09
Ir 0.3675 0.8675 0.0000  6 Mn 2.55-2.60, 3 Ir 2.76-2.79
Ir 0.8675 0.6325 0.0000  6 Mn 2.55-2.60, 3 Ir 2.76-2.79
Ir 0.6325 0.1325 0.0000  6 Mn 2.55-2.60, 3 Ir 2.76-2.79
Mn 0.6633 0.8367 0.5000  6 Ir 2.55-2.60, 2 Mn 2.79
Ag 0.0000 0.0000 0.0000  2 Ag 2.79, 4 Ir 2.88, 8 Mn 3.09
Mn 0.8367 0.3367 0.5000  6 Ir 2.55-2.60, 2 Mn 2.79
Ir 0.1325 0.3675 0.0000  6 Mn 2.55-2.60, 3 Ir 2.76-2.79

Calculated values
**E**: -7.682 eV/atom
**Mass density**: 13190 kg/m³
**Symmetry**: P4/mbm, No. 127


The following is a DFT calculation (GGA-PBE) of Al2MoSe after structural relaxation.

Unit cell a=4.5263 b=4.5263 c=4.5263 alpha=60.00 beta=60.00 gamma=60.00
Closest atoms and distances in Å follow each position.
Atoms (fractional coordinates):
Al 0.2500 0.2500 0.2500  4 Mo 2.77, 4 Al 2.77
Al 0.0000 0.0000 0.0000  4 Al 2.77, 4 Se 2.77
Mo 0.5000 0.5000 0.5000  4 Se 2.77, 4 Al 2.77
Se 0.7500 0.7500 0.7500  4 Al 2.77, 4 Mo 2.77

Calculated values
**Mass density**: 5796 kg/m³
**Formation energy from raw total energies**: 1.31 eV/f.u.
**Symmetry**: F-43m, No. 216


The following is a DFT calculation (GGA-PBE) of YErFeAg after structural relaxation.

Unit cell a=4.9083 b=4.9083 c=4.9083 alpha=60.00 beta=60.00 gamma=60.00
Closest atoms and distances in Å follow each position.
Atoms (fractional coordinates):
Y 0.7500 0.7500 0.7500  4 Ag 3.01, 4 Fe 3.01
Er 0.2500 0.2500 0.2500  4 Fe 3.01, 4 Ag 3.01
Fe 0.5000 0.5000 0.5000  4 Y 3.01, 4 Er 3.01
Ag 0.0000 0.0000 0.0000  4 Er 3.01, 4 Y 3.01

Calculated values
**E**: -5.600 eV/atom
**Mass density**: 8338 kg/m³
**Symmetry**: F-43m, No. 216


The following is a DFT calculation (GGA-PBE) of La2SnWS after structural relaxation.

Unit cell a=6.0253 b=4.9874 c=6.0253 alpha=90.00 beta=90.00 gamma=90.00
Closest atoms and distances in Å follow each position.
Atoms (fractional coordinates):
S 0.5000 0.5000 0.5000  8 La 3.91, 4 W 4.26
W 0.0000 0.5000 0.0000  2 Sn 2.49
La 0.5000 0.0000 0.0000  2 Sn 3.01
La 0.0000 0.0000 0.5000  2 Sn 3.01
Sn 0.0000 0.0000 0.0000  2 W 2.49

Calculated values
**Mass density**: 5617 kg/m³
**Formation energy from raw total energies**: 3.87 eV/f.u.
**Symmetry**: P4/mmm, No. 123


The following is a DFT calculation (GGA-PBE) of LiErMgIn after structural relaxation.

Unit cell a=5.0381 b=5.0381 c=5.0381 alpha=60.00 beta=60.00 gamma=60.00
Closest atoms and distances in Å follow each position.
Atoms (fractional coordinates):
Li 0.0000 0.0000 0.0000  4 Mg 3.09, 4 Er 3.09
In 0.5000 0.5000 0.5000  4 Er 3.09, 4 Mg 3.09
Mg 0.7500 0.7500 0.7500  4 Li 3.09, 4 In 3.09
Er 0.2500 0.2500 0.2500  4 In 3.09, 4 Li 3.09

Calculated values
**E**: -2.945 eV/atom
**Mass density**: 5754 kg/m³
**Symmetry**: F-43m, No. 216